[1]
DFT (PBE) results for a geometry-optimized LuGaFeMo structure.

Results
- Electronic total energy: -6.45 eV per atom
- Space group: F-43m (216)
- Size of the total moment: 0.788 μB per atom

Cell lengths 4.527, 4.527, 4.527 Å; angles 60.00, 60.00, 60.00 degrees
Fractional coordinates of all 4 atoms:
Fe 0.750 0.750 0.750
Ga 0.000 0.000 0.000
Lu 0.500 0.500 0.500
Mo 0.250 0.250 0.250

=====

[2]
DFT (PBE) results for a geometry-optimized LuGaFeMo structure.

Results
- Electronic total energy: -6.41 eV per atom
- Space group: F-43m (216)
- Size of the total moment: 0.480 μB per atom

Cell lengths 4.523, 4.523, 4.523 Å; angles 60.00, 60.00, 60.00 degrees
Fractional coordinates of all 4 atoms:
Fe 0.750 0.750 0.750
Ga 0.000 0.000 0.000
Lu 0.250 0.250 0.250
Mo 0.500 0.500 0.500

=====

[3]
DFT (PBE) results for a geometry-optimized Lu4GaFeN2 structure.

Results
- Electronic total energy: -6.64 eV per atom
- Space group: P-6m2 (187)
- Size of the total moment: 0.178 μB per atom

Cell lengths 3.342, 3.342, 14.444 Å; angles 90.00, 90.00, 120.00 degrees
Last column: magnetic moment on the atom in μB.
Fractional coordinates of all 8 atoms:
Fe 0.000 0.000 0.000  2.07
Ga 0.667 0.333 0.500  0.00
Lu 0.667 0.333 0.145  -0.23
Lu 0.000 0.000 0.333  -0.02
Lu 0.000 0.000 0.667  -0.02
Lu 0.667 0.333 0.855  -0.23
N 0.333 0.667 0.248  0.00
N 0.333 0.667 0.752  0.00

=====

[4]
DFT (PBE) results for a geometry-optimized LuGaFePd structure.

Results
- Electronic total energy: -5.64 eV per atom
- Space group: F-43m (216)
- Size of the total moment: 0.451 μB per atom

Cell lengths 4.526, 4.526, 4.526 Å; angles 60.00, 60.00, 60.00 degrees
Fractional coordinates of all 4 atoms:
Fe 0.750 0.750 0.750
Ga 0.000 0.000 0.000
Lu 0.500 0.500 0.500
Pd 0.250 0.250 0.250

=====

[5]
DFT (PBE) results for a geometry-optimized LuGaFePd structure.

Results
- Electronic total energy: -5.54 eV per atom
- Space group: F-43m (216)
- Size of the total moment: 0.667 μB per atom

Cell lengths 4.607, 4.607, 4.607 Å; angles 60.00, 60.00, 60.00 degrees
Fractional coordinates of all 4 atoms:
Fe 0.750 0.750 0.750
Ga 0.000 0.000 0.000
Lu 0.250 0.250 0.250
Pd 0.500 0.500 0.500

=====

[6]
DFT (PBE) results for a geometry-optimized LuGaFePt structure.

Results
- Electronic total energy: -5.86 eV per atom
- Space group: F-43m (216)
- Size of the total moment: 0.734 μB per atom

Cell lengths 4.601, 4.601, 4.601 Å; angles 60.00, 60.00, 60.00 degrees
Fractional coordinates of all 4 atoms:
Fe 0.750 0.750 0.750
Ga 0.000 0.000 0.000
Lu 0.250 0.250 0.250
Pt 0.500 0.500 0.500

=====

[7]
DFT (PBE) results for a geometry-optimized LuGaFePt structure.

Results
- Electronic total energy: -5.96 eV per atom
- Space group: F-43m (216)
- Size of the total moment: 0.478 μB per atom

Cell lengths 4.536, 4.536, 4.536 Å; angles 60.00, 60.00, 60.00 degrees
Fractional coordinates of all 4 atoms:
Fe 0.750 0.750 0.750
Ga 0.000 0.000 0.000
Lu 0.500 0.500 0.500
Pt 0.250 0.250 0.250

=====

[8]
DFT (PBE) results for a geometry-optimized LuGaFeRe structure.

Results
- Electronic total energy: -6.82 eV per atom
- Space group: F-43m (216)
- Size of the total moment: 0.685 μB per atom

Cell lengths 4.489, 4.489, 4.489 Å; angles 60.00, 60.00, 60.00 degrees
Fractional coordinates of all 4 atoms:
Fe 0.750 0.750 0.750
Ga 0.000 0.000 0.000
Lu 0.500 0.500 0.500
Re 0.250 0.250 0.250

=====

[9]
DFT (PBE) results for a geometry-optimized LuGaFeRe structure.

Results
- Electronic total energy: -6.81 eV per atom
- Space group: F-43m (216)
- Size of the total moment: 0.755 μB per atom

Cell lengths 4.539, 4.539, 4.539 Å; angles 60.00, 60.00, 60.00 degrees
Fractional coordinates of all 4 atoms:
Fe 0.750 0.750 0.750
Ga 0.000 0.000 0.000
Lu 0.250 0.250 0.250
Re 0.500 0.500 0.500

=====

[10]
DFT (PBE) results for a geometry-optimized LuScGaFe structure.

Results
- Electronic total energy: -5.64 eV per atom
- Space group: F-43m (216)
- Size of the total moment: 0.248 μB per atom

Cell lengths 4.625, 4.625, 4.625 Å; angles 60.00, 60.00, 60.00 degrees
Fractional coordinates of all 4 atoms:
Fe 0.750 0.750 0.750
Ga 0.000 0.000 0.000
Lu 0.500 0.500 0.500
Sc 0.250 0.250 0.250

=====

[11]
DFT (PBE) results for a geometry-optimized LuGaFeTc structure.

Results
- Electronic total energy: -6.53 eV per atom
- Space group: F-43m (216)
- Size of the total moment: 0.665 μB per atom

Cell lengths 4.481, 4.481, 4.481 Å; angles 60.00, 60.00, 60.00 degrees
Fractional coordinates of all 4 atoms:
Fe 0.750 0.750 0.750
Ga 0.000 0.000 0.000
Lu 0.500 0.500 0.500
Tc 0.250 0.250 0.250

=====

[12]
DFT (PBE) results for a geometry-optimized LuGaFeTc structure.

Results
- Electronic total energy: -6.45 eV per atom
- Space group: F-43m (216)
- Size of the total moment: 0.780 μB per atom

Cell lengths 4.536, 4.536, 4.536 Å; angles 60.00, 60.00, 60.00 degrees
Fractional coordinates of all 4 atoms:
Fe 0.750 0.750 0.750
Ga 0.000 0.000 0.000
Lu 0.250 0.250 0.250
Tc 0.500 0.500 0.500